Entry 1:
# Pm4YZn5 PBE optimized geometry
# - calculated formation energy (eV/atom) = -0.32
data_Pm4YZn5
_space_group_name_H-M_alt 'P 4/m m m'
_space_group_IT_number 123
_space_group_name_Hall '-P 4 2'
_cell_length_a 3.6406
_cell_length_b 3.6406
_cell_length_c 18.2482
_cell_angle_alpha 90.00
_cell_angle_beta 90.00
_cell_angle_gamma 90.00
loop_
_atom_site_label
_atom_site_type_symbol
_atom_site_fract_x
_atom_site_fract_y
_atom_site_fract_z
Pm1 Pm 0.0000 0.0000 0.1012
Pm2 Pm 0.0000 0.0000 0.3027
Y1 Y 0.0000 0.0000 0.5000
Zn1 Zn 0.5000 0.5000 0.0000
Zn2 Zn 0.5000 0.5000 0.2013
Zn3 Zn 0.5000 0.5000 0.4054



Entry 2:
# HfTl2S2Br2 PBE optimized geometry
# - formation energy (no corrections) (eV per atom) = -1.086
data_HfTl2S2Br2
_space_group_name_H-M_alt 'I 4/m m m'
_space_group_IT_number 139
_space_group_name_Hall '-I 4 2'
_cell_length_a 5.0268
_cell_length_b 5.0268
_cell_length_c 17.1224
_cell_angle_alpha 90.00
_cell_angle_beta 90.00
_cell_angle_gamma 90.00
loop_
_atom_site_label
_atom_site_type_symbol
_atom_site_fract_x
_atom_site_fract_y
_atom_site_fract_z
Hf1 Hf 0.0000 0.0000 0.0000
Tl1 Tl 0.0000 0.0000 0.3762
S1 S 0.0000 0.5000 0.0000
Br1 Br 0.0000 0.0000 0.1572



Entry 3:
# Li3Hg3Au2 PBE optimized geometry
# - calculated formation energy (eV/atom) = -0.32
data_Li3Hg3Au2
_space_group_name_H-M_alt 'P -1'
_space_group_IT_number 2
_space_group_name_Hall '-P 1'
_cell_length_a 3.8112
_cell_length_b 4.3409
_cell_length_c 9.3872
_cell_angle_alpha 102.78
_cell_angle_beta 101.54
_cell_angle_gamma 90.22
loop_
_atom_site_label
_atom_site_type_symbol
_atom_site_fract_x
_atom_site_fract_y
_atom_site_fract_z
Li1 Li 0.0000 0.0000 0.0000
Li2 Li 0.1399 0.6397 0.2788
Hg1 Hg 0.3820 0.8784 0.7568
Hg2 Hg 0.5000 0.5000 0.0000
Au1 Au 0.2456 0.2467 0.4932



Per-record M_tot, μB/cell: 0.0; 0.0; 0.0